No. 1
# Cs2YIO6, relaxed, DFT PBE
# uncorrected energy: -5.492 eV per atom
# energy relative to the elements, uncorrected: -1.54 eV per atom
data_Cs2YIO6
_chemical_formula_sum 'Cs2 Y1 I1 O6'
_cell_length_a 6.8172
_cell_length_b 6.8172
_cell_length_c 5.8709
_cell_angle_alpha 90.00
_cell_angle_beta 90.00
_cell_angle_gamma 120.00
_space_group_name_H-M_alt 'P -3 m 1'
_space_group_IT_number 164
_space_group_name_Hall '-P 3 2"'
loop_
_atom_site_label
_atom_site_type_symbol
_atom_site_fract_x
_atom_site_fract_y
_atom_site_fract_z
Cs1 Cs 0.3333 0.6667 0.1346
Y1 Y 0.0000 0.0000 0.5000
I1 I 0.0000 0.0000 0.0000
O1 O 0.1290 0.2581 0.7993

=====

No. 2
# CsYIO2, relaxed, DFT PBE
# uncorrected energy: -3.674 eV per atom
# energy relative to the elements, uncorrected: 0.08 eV per atom
# E above lowest polymorph: 8.62 eV per formula unit
data_CsYIO2
_chemical_formula_sum 'Cs1 Y1 I1 O2'
_cell_length_a 4.638
_cell_length_b 4.638
_cell_length_c 6.463
_cell_angle_alpha 90.00
_cell_angle_beta 90.00
_cell_angle_gamma 90.00
_space_group_name_H-M_alt 'P 4/m m m'
_space_group_IT_number 123
_space_group_name_Hall '-P 4 2'
loop_
_atom_site_label
_atom_site_type_symbol
_atom_site_fract_x
_atom_site_fract_y
_atom_site_fract_z
Cs1 Cs 0.000 0.000 0.000
Y1 Y 0.500 0.500 0.500
I1 I 0.000 0.000 0.500
O1 O 0.000 0.500 0.000

=====

- The lowest uncorrected energy belongs to which entry?
  Cs2YIO6

=====

- Number 1 is which compound?
  Cs2YIO6

=====

- Which of these has the highest energy relative to the elements, uncorrected?
  CsYIO2